The following is a DFT calculation (PBE) of MgIn6Hg4 after structural relaxation.

Computed properties:
Total magnetic moment in Bohr magnetons per cell: 0.00
Energy in eV per atom: -1.74
DOS at the Fermi energy in states/eV/cell: 4.849
Formation enthalpy at 0 K in kJ/mol of formula units: 5

Cell: 6.2693 6.7204 7.4087 Å, 103.89 103.89 92.63°
Positions (direct):
Mg: 0.0000 0.0000 0.0000
In: 0.1902 0.1979 0.6635
In: 0.3681 0.8187 0.3386
In: 0.5018 0.9890 0.9972
In: 0.6047 0.6080 0.6863
In: 0.8357 0.3644 0.3324
In: 0.9991 0.5025 0.9962
Hg: 0.1197 0.6979 0.6822
Hg: 0.3341 0.3228 0.2868
Hg: 0.6881 0.1350 0.6841
Hg: 0.8588 0.8515 0.3139